(1)
Computed, not measured: a geometry-optimized Sb2RuAu structure at the PBE level of DFT.

Lattice parameters (Å, degrees): 5.547 5.547 5.547 136.46 136.46 63.28
Fractional coordinates of all 4 atoms:
Sb: 0.000 0.000 0.000
Sb: 0.750 0.250 0.500
Ru: 0.500 0.500 0.000
Au: 0.250 0.750 0.500

Values from the calculation:
Excess energy over the best structure of this formula in the dataset ... 281 meV/atom
Size of the total moment ... 0.000 μB per atom
Space group ... I-4m2 (119)
Energy relative to the elements, uncorrected ... 32.5 kJ/mol of atoms


(2)
Computed, not measured: a geometry-optimized Be2GaH8 structure at the PBE level of DFT.

Lattice parameters (Å, degrees): 5.166 5.166 4.127 99.50 99.50 97.09
Fractional coordinates of all 11 atoms:
Be: 0.215 0.215 0.176
Be: 0.785 0.785 0.824
Ga: 0.000 0.000 0.500
H: 0.008 0.708 0.679
H: 0.233 0.233 0.848
H: 0.292 0.992 0.321
H: 0.447 0.447 0.411
H: 0.553 0.553 0.589
H: 0.708 0.008 0.679
H: 0.767 0.767 0.152
H: 0.992 0.292 0.321

Values from the calculation:
DFT total energy ... -3.133 eV per atom
Size of the total moment ... 0.000 μB per atom
Space group ... C2/m (12)


(3)
Computed, not measured: a geometry-optimized KNiAg2 structure at the PBE level of DFT.

Lattice parameters (Å, degrees): 5.783 5.783 2.863 100.56 100.56 117.95
Fractional coordinates of all 4 atoms:
K: 0.000 0.000 0.000
Ni: 0.500 0.500 0.000
Ag: 0.000 0.500 0.500
Ag: 0.500 0.000 0.500

Values from the calculation:
Excess energy over the best structure of this formula in the dataset ... 229 meV/atom
Size of the total moment ... 0.046 μB per atom
Space group ... C2/m (12)


(4)
Computed, not measured: a geometry-optimized LaGdMgCd structure at the PBE level of DFT.

Lattice parameters (Å, degrees): 5.478 5.478 5.478 60.00 60.00 60.00
Fractional coordinates of all 4 atoms:
La: 0.000 0.000 0.000
Gd: 0.500 0.500 0.500
Mg: 0.250 0.250 0.250
Cd: 0.750 0.750 0.750

Values from the calculation:
DFT total energy ... -5.598 eV per atom
Size of the total moment ... 1.993 μB per atom
Space group ... F-43m (216)


(5)
Computed, not measured: a geometry-optimized Na5Pa3O12 structure at the PBE level of DFT.

Lattice parameters (Å, degrees): 11.329 11.329 11.329 109.47 109.47 109.47
Fractional coordinates of all 80 atoms:
Na: 0.000 0.000 0.000
Na: 0.000 0.000 0.500
Na: 0.000 0.500 0.000
Na: 0.000 0.500 0.500
Na: 0.125 0.750 0.875
Na: 0.125 0.875 0.250
Na: 0.250 0.125 0.875
Na: 0.250 0.625 0.375
Na: 0.375 0.250 0.625
Na: 0.375 0.625 0.750
Na: 0.500 0.000 0.000
Na: 0.500 0.000 0.500
Na: 0.500 0.500 0.000
Na: 0.500 0.500 0.500
Na: 0.625 0.375 0.250
Na: 0.625 0.750 0.375
Na: 0.750 0.375 0.625
Na: 0.750 0.875 0.125
Na: 0.875 0.125 0.750
Na: 0.875 0.250 0.125
Pa: 0.125 0.250 0.375
Pa: 0.125 0.375 0.750
Pa: 0.250 0.375 0.125
Pa: 0.250 0.875 0.625
Pa: 0.375 0.125 0.250
Pa: 0.375 0.750 0.125
Pa: 0.625 0.250 0.875
Pa: 0.625 0.875 0.750
Pa: 0.750 0.125 0.375
Pa: 0.750 0.625 0.875
Pa: 0.875 0.625 0.250
Pa: 0.875 0.750 0.625
O: 0.067 0.241 0.142
O: 0.067 0.326 0.926
O: 0.074 0.642 0.401
O: 0.074 0.933 0.674
O: 0.099 0.741 0.674
O: 0.099 0.858 0.426
O: 0.142 0.067 0.241
O: 0.142 0.574 0.901
O: 0.174 0.241 0.599
O: 0.174 0.433 0.574
O: 0.241 0.142 0.067
O: 0.241 0.599 0.174
O: 0.259 0.326 0.901
O: 0.259 0.433 0.358
O: 0.326 0.901 0.259
O: 0.326 0.926 0.067
O: 0.358 0.259 0.433
O: 0.358 0.599 0.926
O: 0.401 0.074 0.642
O: 0.401 0.826 0.759
O: 0.426 0.099 0.858
O: 0.426 0.826 0.567
O: 0.433 0.358 0.259
O: 0.433 0.574 0.174
O: 0.567 0.426 0.826
O: 0.567 0.642 0.741
O: 0.574 0.174 0.433
O: 0.574 0.901 0.142
O: 0.599 0.174 0.241
O: 0.599 0.926 0.358
O: 0.642 0.401 0.074
O: 0.642 0.741 0.567
O: 0.674 0.074 0.933
O: 0.674 0.099 0.741
O: 0.741 0.567 0.642
O: 0.741 0.674 0.099
O: 0.759 0.401 0.826
O: 0.759 0.858 0.933
O: 0.826 0.567 0.426
O: 0.826 0.759 0.401
O: 0.858 0.426 0.099
O: 0.858 0.933 0.759
O: 0.901 0.142 0.574
O: 0.901 0.259 0.326
O: 0.926 0.067 0.326
O: 0.926 0.358 0.599
O: 0.933 0.674 0.074
O: 0.933 0.759 0.858

Values from the calculation:
Size of the total moment ... 0.200 μB per atom
Space group ... Ia-3d (230)
Energy relative to the elements, uncorrected ... -212.1 kJ/mol of atoms


(6)
Computed, not measured: a geometry-optimized CaY2Cl structure at the PBE level of DFT.

Lattice parameters (Å, degrees): 6.579 6.579 6.404 118.50 118.50 30.96
Fractional coordinates of all 4 atoms:
Ca: 0.000 0.000 0.000
Y: 0.586 0.586 0.583
Y: 0.811 0.811 0.324
Cl: 0.291 0.291 0.700

Values from the calculation:
Excess energy over the best structure of this formula in the dataset ... 267 meV/atom
Size of the total moment ... 0.000 μB per atom
Space group ... Cm (8)
Energy relative to the elements, uncorrected ... -44.7 kJ/mol of atoms